# 1
A plane-wave DFT calculation with PBE was carried out for a relaxed Cs7Na crystal.

Computed properties:
Size of the total moment: 0.0 μB/f.u.
VASP energy: -0.8891 eV/atom
DFT formation energy: 0.023 eV per atom
Crystal system: trigonal
Calculated density: 1.92 g cm⁻³

The structure in CIF format:
```
data_Cs7Na
_chemical_formula_sum 'Cs21 Na3'
_symmetry_space_group_name_H-M 'R -3 m'
_symmetry_Int_Tables_number 166
_symmetry_space_group_name_Hall '-R 3 2"'
_cell_length_a 8.3485
_cell_length_b 8.3485
_cell_length_c 41.0449
_cell_angle_alpha 90.00
_cell_angle_beta 90.00
_cell_angle_gamma 120.00
loop_
_atom_site_label
_atom_site_type_symbol
_atom_site_fract_x
_atom_site_fract_y
_atom_site_fract_z
Cs1 Cs 0.0000 0.0000 0.0000
Cs2 Cs 0.0000 0.0000 0.1329
Cs3 Cs 0.0000 0.0000 0.2536
Cs4 Cs 0.0000 0.0000 0.3867
Na1 Na 0.0000 0.0000 0.5000
```

# 2
A plane-wave DFT calculation with PBE was carried out for a relaxed Cs2Na3 crystal.

Computed properties:
Size of the total moment: 0.0 μB/f.u.
VASP energy: -0.9459 eV/atom
DFT formation energy: 0.187 eV per atom
Crystal system: trigonal
Calculated density: 1.60 g cm⁻³

The structure in CIF format:
```
data_Cs2Na3
_chemical_formula_sum 'Cs12 Na18'
_symmetry_space_group_name_H-M 'R -3 c'
_symmetry_Int_Tables_number 167
_symmetry_space_group_name_Hall '-R 3 2"c'
_cell_length_a 11.7723
_cell_length_b 11.7723
_cell_length_c 17.3307
_cell_angle_alpha 90.00
_cell_angle_beta 90.00
_cell_angle_gamma 120.00
loop_
_atom_site_label
_atom_site_type_symbol
_atom_site_fract_x
_atom_site_fract_y
_atom_site_fract_z
Cs1 Cs 0.0000 0.0000 0.1228
Na1 Na 0.0000 0.3175 0.2500
```

> Which value of DFT formation energy does entry 1 give?

0.023 eV per atom

> Look up the size of the total moment of the second one.

0.0 μB/f.u.

Please write out number 1 again, unchanged.
A plane-wave DFT calculation with PBE was carried out for a relaxed Cs7Na crystal.

Computed properties:
Size of the total moment: 0.0 μB/f.u.
VASP energy: -0.8891 eV/atom
DFT formation energy: 0.023 eV per atom
Crystal system: trigonal
Calculated density: 1.92 g cm⁻³

The structure in CIF format:
```
data_Cs7Na
_chemical_formula_sum 'Cs21 Na3'
_symmetry_space_group_name_H-M 'R -3 m'
_symmetry_Int_Tables_number 166
_symmetry_space_group_name_Hall '-R 3 2"'
_cell_length_a 8.3485
_cell_length_b 8.3485
_cell_length_c 41.0449
_cell_angle_alpha 90.00
_cell_angle_beta 90.00
_cell_angle_gamma 120.00
loop_
_atom_site_label
_atom_site_type_symbol
_atom_site_fract_x
_atom_site_fract_y
_atom_site_fract_z
Cs1 Cs 0.0000 0.0000 0.0000
Cs2 Cs 0.0000 0.0000 0.1329
Cs3 Cs 0.0000 0.0000 0.2536
Cs4 Cs 0.0000 0.0000 0.3867
Na1 Na 0.0000 0.0000 0.5000
```